1.
## BeZn2Pd (PBE-GGA)

Data for a relaxed structure of BeZn2Pd.

Properties
DFT formation energy = -93 kJ/mol of formula units
Calculated volume = 52.04 Å³ per cell
E = -12.43 eV for the cell shown

a b c (Å): 3.6605 3.6605 3.8839
angles (deg): 90.00 90.00 90.00
With the nearest neighbours (Å) after each atom.
Space group P4/mmm (No. 123)
Asymmetric unit:
1 Be 0.0000 0.0000 0.0000  4 Pd 2.59, 8 Zn 2.67
2 Zn 0.0000 0.5000 0.5000  4 Zn 2.59, 4 Pd 2.67, 4 Be 2.67
3 Pd 0.5000 0.5000 0.0000  4 Be 2.59, 8 Zn 2.67

---

2.
## BeZn2Pd (PBE-GGA)

Data for a relaxed structure of BeZn2Pd.

Properties
DFT formation energy = 18 kJ/mol of formula units
Calculated volume = 222.22 Å³ per cell
E = -45.11 eV for the cell shown

a b c (Å): 6.7130 6.7130 4.9313
angles (deg): 90.00 90.00 90.00
With the nearest neighbours (Å) after each atom.
Space group I-42d (No. 122)
Asymmetric unit:
1 Be 0.0000 0.0000 0.0000  4 Zn 2.31, 2 Pd 2.47
2 Zn 0.2184 0.2500 0.1250  2 Be 2.31, 2 Zn 2.50
3 Pd 0.0000 0.0000 0.5000  2 Be 2.47, 4 Zn 2.60

---

3.
## Be2ZnPd8 (PBE-GGA)

Data for a relaxed structure of Be2ZnPd8.

Properties
DFT formation energy = -349 kJ/mol of formula units
Calculated volume = 309.34 Å³ per cell
Distance to the lowest polymorph of the same formula = 0.00 eV/f.u.
E = -107.77 eV for the cell shown

a b c (Å): 13.8719 3.9945 5.9470
angles (deg): 90.00 110.16 90.00
With the nearest neighbours (Å) after each atom.
Space group C2/m (No. 12)
Asymmetric unit:
1 Be 0.1929 0.0000 0.1806  5 Pd 2.27-2.45
2 Zn 0.0000 0.5000 0.5000  8 Pd 2.55-2.71
3 Pd 0.0357 0.0000 0.2546  1 Be 2.37, 2 Zn 2.62
4 Pd 0.1000 0.5000 0.9799  2 Be 2.45, 1 Pd 2.68, 1 Zn 2.71
5 Pd 0.1775 0.5000 0.4603  1 Be 2.27
6 Pd 0.1852 0.0000 0.7879  1 Be 2.30

---

4.
## BeZnPd2 (PBE-GGA)

Data for a relaxed structure of BeZnPd2.

Properties
DFT formation energy = -190 kJ/mol of formula units
Calculated volume = 52.37 Å³ per cell
Distance to the lowest polymorph of the same formula = 0.32 eV/f.u.
E = -17.35 eV for the cell shown

a b c (Å): 4.0310 4.0310 3.2227
angles (deg): 90.00 90.00 90.00
With the nearest neighbours (Å) after each atom.
Space group P4/mmm (No. 123)
Asymmetric unit:
1 Be 0.0000 0.0000 0.0000  8 Pd 2.58, 4 Zn 2.85
2 Zn 0.5000 0.5000 0.0000  8 Pd 2.58, 4 Be 2.85
3 Pd 0.0000 0.5000 0.5000  4 Be 2.58, 4 Zn 2.58, 4 Pd 2.85